[1]
DFT (GGA-PBE) results for a relaxed Li2Pu2Rh3 crystal.

Summary:
SG: No. 65
DFT formation energy, eV/atom: -0.283
Offset from the most stable computed form, meV per atom: 0
D(E_F), states/eV per cell: 14.5

a = 11.259 Å, b = 11.259 Å, c = 2.987 Å
α = 90.00°, β = 90.00°, γ = 161.47°
Fractional coordinates of all 7 atoms:
Li: 0.217 0.783 0.000
Li: 0.783 0.217 0.000
Pu: 0.082 0.918 0.000
Pu: 0.918 0.082 0.000
Rh: 0.342 0.658 0.500
Rh: 0.500 0.500 0.500
Rh: 0.658 0.342 0.500

[2]
DFT (GGA-PBE) results for a relaxed PrTmInAg crystal.

Summary:
SG: No. 99
DFT formation energy, eV/atom: -0.393
Offset from the most stable computed form, meV per atom: 0
D(E_F), states/eV per cell: 3.1

a = 3.657 Å, b = 3.657 Å, c = 7.882 Å
α = 90.00°, β = 90.00°, γ = 90.00°
Fractional coordinates of all 4 atoms:
Pr: 0.000 0.000 0.000
Tm: 0.000 0.000 0.526
In: 0.500 0.500 0.276
Ag: 0.500 0.500 0.727

[3]
DFT (GGA-PBE) results for a relaxed BPtSe2O crystal.

Summary:
DFT total energy, eV per atom: -3.896
SG: No. 123
D(E_F), states/eV per cell: 5.8

a = 4.406 Å, b = 4.406 Å, c = 4.123 Å
α = 90.00°, β = 90.00°, γ = 90.00°
Fractional coordinates of all 5 atoms:
B: 0.000 0.000 0.000
Pt: 0.000 0.000 0.500
Se: 0.000 0.500 0.000
Se: 0.500 0.000 0.000
O: 0.500 0.500 0.500

[4]
DFT (GGA-PBE) results for a relaxed Ac4NiTe2Se crystal.

Summary:
DFT total energy, eV per atom: -5.254
SG: No. 10
D(E_F), states/eV per cell: 6.0

a = 8.033 Å, b = 4.407 Å, c = 8.202 Å
α = 90.00°, β = 108.38°, γ = 90.00°
Fractional coordinates of all 8 atoms:
Ac: 0.217 0.000 0.209
Ac: 0.252 0.500 0.771
Ac: 0.748 0.500 0.229
Ac: 0.783 0.000 0.791
Ni: 0.000 0.500 0.000
Te: 0.000 0.000 0.500
Te: 0.500 0.500 0.500
Se: 0.500 0.000 0.000